Here is a relaxed PrMgZr crystal from the Open Quantum Materials Database. Energies are from PBE.

Values from the calculation:
**ΔE to the lowest computed polymorph**: 0 meV per atom
**Calculated density**: 4.64 g/cm3
**SG**: F-43m

a = 5.064 Å, b = 5.064 Å, c = 5.064 Å
α = 60.00°, β = 60.00°, γ = 60.00°
Element x y z (fractional)
1 Pr 0.000 0.000 0.000
2 Mg 0.250 0.250 0.250
3 Zr 0.500 0.500 0.500

Here is a relaxed MgPt crystal from the Open Quantum Materials Database. Energies are from PBE.

Values from the calculation:
**Calculated density**: 11.22 g/cm3
**SG**: Pmm2
**Electronic total energy**: -4.335 eV per atom

a = 4.586 Å, b = 5.746 Å, c = 4.928 Å
α = 90.00°, β = 90.00°, γ = 90.00°
Element x y z (fractional)
1 Mg 0.000 0.000 0.000
2 Mg 0.000 0.272 0.472
3 Mg 0.000 0.728 0.472
4 Mg 0.500 0.000 0.639
5 Pt 0.000 0.500 0.973
6 Pt 0.500 0.248 0.148
7 Pt 0.500 0.500 0.650
8 Pt 0.500 0.752 0.148

Here is a relaxed Mg2Pt crystal from the Open Quantum Materials Database. Energies are from PBE.

Values from the calculation:
**Calculated density**: 5.75 g/cm3
**SG**: P4_2/mnm
**Electronic total energy**: -3.444 eV per atom

a = 5.956 Å, b = 5.956 Å, c = 3.969 Å
α = 90.00°, β = 90.00°, γ = 90.00°
Element x y z (fractional)
1 Mg 0.197 0.197 0.000
2 Mg 0.303 0.697 0.500
3 Mg 0.697 0.303 0.500
4 Mg 0.803 0.803 0.000
5 Pt 0.000 0.000 0.500
6 Pt 0.500 0.500 0.000

Here is a relaxed Mg3Pt crystal from the Open Quantum Materials Database. Energies are from PBE.

Values from the calculation:
**Calculated density**: 6.27 g/cm3
**SG**: Cmcm
**Electronic total energy**: -3.201 eV per atom

a = 5.895 Å, b = 5.895 Å, c = 4.710 Å
α = 90.00°, β = 90.00°, γ = 119.89°
Element x y z (fractional)
1 Mg 0.173 0.827 0.750
2 Mg 0.174 0.348 0.750
3 Mg 0.348 0.174 0.250
4 Mg 0.652 0.826 0.750
5 Mg 0.826 0.652 0.250
6 Mg 0.827 0.173 0.250
7 Pt 0.334 0.666 0.250
8 Pt 0.666 0.334 0.750

Here is a relaxed Mg3Pt crystal from the Open Quantum Materials Database. Energies are from PBE.

Values from the calculation:
**Calculated density**: 5.69 g/cm3
**SG**: Cmcm
**Electronic total energy**: -3.245 eV per atom

a = 4.890 Å, b = 4.890 Å, c = 8.294 Å
α = 90.00°, β = 90.00°, γ = 127.89°
Element x y z (fractional)
1 Mg 0.031 0.969 0.750
2 Mg 0.341 0.659 0.573
3 Mg 0.341 0.659 0.927
4 Mg 0.659 0.341 0.073
5 Mg 0.659 0.341 0.427
6 Mg 0.969 0.031 0.250
7 Pt 0.280 0.720 0.250
8 Pt 0.720 0.280 0.750

Here is a relaxed MgPt crystal from the Open Quantum Materials Database. Energies are from PBE.

Values from the calculation:
**Calculated density**: 11.29 g/cm3
**SG**: Pbcm
**Electronic total energy**: -4.446 eV per atom

a = 5.440 Å, b = 5.051 Å, c = 4.697 Å
α = 90.00°, β = 90.00°, γ = 90.00°
Element x y z (fractional)
1 Mg 0.155 0.080 0.250
2 Mg 0.155 0.420 0.750
3 Mg 0.845 0.580 0.250
4 Mg 0.845 0.920 0.750
5 Pt 0.351 0.589 0.250
6 Pt 0.351 0.911 0.750
7 Pt 0.649 0.089 0.250
8 Pt 0.649 0.411 0.750